No. 1
LiAgBi2: single point on PBEsol structure, meta-GGA SCAN.

Lattice parameters (Å, degrees): 5.0810 5.0810 5.0810 60.00 60.00 60.00
Last column: nearest neighbours and their distance in Å.
Positions (direct):
Li 0.0000 0.0000 0.0000  8 Bi 3.11
Ag 0.5000 0.5000 0.5000  8 Bi 3.11
Bi 0.2500 0.2500 0.2500  4 Ag 3.11, 4 Li 3.11
Bi 0.7500 0.7500 0.7500  4 Li 3.11, 4 Ag 3.11

***

No. 2
Li2Ag2Bi: single point on PBEsol structure, meta-GGA SCAN.

Lattice parameters (Å, degrees): 7.5854 7.5854 3.2286 90.00 90.00 90.00
Last column: nearest neighbours and their distance in Å.
Positions (direct):
Li 0.1664 0.3336 0.0000  6 Ag 2.74-2.77
Li 0.3336 0.8336 0.0000  6 Ag 2.74-2.77
Li 0.6664 0.1664 0.0000  6 Ag 2.74-2.77
Li 0.8336 0.6664 0.0000  6 Ag 2.74-2.77
Ag 0.1272 0.6272 0.5000  1 Ag 2.73, 6 Li 2.74-2.77, 2 Bi 2.99
Ag 0.3728 0.1272 0.5000  1 Ag 2.73, 6 Li 2.74-2.77, 2 Bi 2.99
Ag 0.6272 0.8728 0.5000  1 Ag 2.73, 6 Li 2.74-2.77, 2 Bi 2.99
Ag 0.8728 0.3728 0.5000  1 Ag 2.73, 6 Li 2.74-2.77, 2 Bi 2.99
Bi 0.0000 0.0000 0.5000  4 Ag 2.99, 2 Bi 3.23, 8 Li 3.26
Bi 0.5000 0.5000 0.5000  4 Ag 2.99, 2 Bi 3.23, 8 Li 3.26

***

No. 3
Mg2Ag2Bi: single point on PBEsol structure, meta-GGA SCAN.

Lattice parameters (Å, degrees): 8.0519 8.0519 3.1854 90.00 90.00 90.00
Last column: nearest neighbours and their distance in Å.
Positions (direct):
Mg 0.1669 0.3331 0.0000  6 Ag 2.85-2.86, 2 Mg 3.19
Mg 0.3331 0.8331 0.0000  6 Ag 2.85-2.86, 2 Mg 3.19
Mg 0.6669 0.1669 0.0000  6 Ag 2.85-2.86, 2 Mg 3.19
Mg 0.8331 0.6669 0.0000  6 Ag 2.85-2.86, 2 Mg 3.19
Ag 0.1254 0.6254 0.5000  6 Mg 2.85-2.86, 3 Ag 2.86-3.19, 2 Bi 3.18
Ag 0.3746 0.1254 0.5000  6 Mg 2.85-2.86, 3 Ag 2.86-3.19, 2 Bi 3.18
Ag 0.6254 0.8746 0.5000  6 Mg 2.85-2.86, 3 Ag 2.86-3.19, 2 Bi 3.18
Ag 0.8746 0.3746 0.5000  6 Mg 2.85-2.86, 3 Ag 2.86-3.19, 2 Bi 3.18
Bi 0.0000 0.0000 0.5000  4 Ag 3.18, 2 Bi 3.19, 8 Mg 3.40
Bi 0.5000 0.5000 0.5000  4 Ag 3.18, 2 Bi 3.19, 8 Mg 3.40

***

No. 4
Mg2AgBi: single point on PBEsol structure, meta-GGA SCAN.

Lattice parameters (Å, degrees): 10.3546 10.3546 10.3546 155.41 155.41 35.06
Last column: nearest neighbours and their distance in Å.
Positions (direct):
Mg 0.0998 0.6250 0.9748  2 Ag 2.88, 2 Bi 2.96, 2 Mg 2.97
Mg 0.3750 0.3498 0.4748  2 Ag 2.88, 2 Bi 2.96, 2 Mg 2.97
Mg 0.6502 0.1250 0.0252  2 Ag 2.88, 2 Bi 2.96, 2 Mg 2.97
Mg 0.8750 0.9002 0.5252  2 Ag 2.88, 2 Bi 2.96, 2 Mg 2.97
Ag 0.0000 0.0000 0.0000  4 Mg 2.88, 4 Bi 3.12
Ag 0.7500 0.2500 0.5000  4 Mg 2.88, 4 Bi 3.12
Bi 0.2500 0.7500 0.5000  4 Mg 2.96, 4 Ag 3.12
Bi 0.5000 0.5000 0.0000  4 Mg 2.96, 4 Ag 3.12

***

No. 5
Mg2Ag2Bi: single point on PBEsol structure, meta-GGA SCAN.

Lattice parameters (Å, degrees): 8.0019 8.0019 8.0019 152.22 152.22 39.69
Last column: nearest neighbours and their distance in Å.
Positions (direct):
Mg 0.1100 0.1100 0.0000  4 Ag 2.85, 4 Bi 3.18
Mg 0.8900 0.8900 0.0000  4 Ag 2.85, 4 Bi 3.18
Ag 0.2500 0.7500 0.5000  4 Ag 2.72, 4 Mg 2.85
Ag 0.7500 0.2500 0.5000  4 Ag 2.72, 4 Mg 2.85
Bi 0.5000 0.5000 0.0000  8 Mg 3.18

***

No. 6
Mg2AgBiRh: single point on PBEsol structure, meta-GGA SCAN.

Lattice parameters (Å, degrees): 5.3271 5.3271 4.9726 90.00 90.00 90.00
Last column: nearest neighbours and their distance in Å.
Positions (direct):
Mg 0.0000 0.5000 0.0000  2 Bi 2.66
Mg 0.5000 0.0000 0.0000  2 Bi 2.66
Ag 0.0000 0.0000 0.5000  8 Mg 3.64, 4 Rh 3.77
Bi 0.5000 0.5000 0.0000  2 Rh 2.49, 4 Mg 2.66
Rh 0.5000 0.5000 0.5000  2 Bi 2.49

***

E (eV per atom)
-47.822 -29.430 -30.392 -29.908 -30.296 -29.953
Fermi-level density of states (states/eV/atom)
0.316 0.253 0.390 0.409 0.295 0.822
Total magnetization (μB/f.u.)
0.0 0.0 0.0 0.0 0.0 0.0